WBr2Cl: optimized geometry, GGA-PBE.

Calculated values
* raw formation energy: 0.22 eV/atom
* E: -17.27 eV per cell
* SG: Cmm2
* magnetization: 0.225 μB per atom
* N(E_F): 1.9 states/eV/f.u.
* energy above the most stable polymorph in this dataset: 476 meV/atom

Lattice parameters (Å, degrees): 3.4020 3.4020 11.2727 90.00 90.00 128.22
Positions (direct):
Br1 0.0000 0.0000 0.9311
Br2 0.5000 0.5000 0.2464
W1 0.5000 0.5000 0.7467
Cl1 0.0000 0.0000 0.5758